[1]
YCdMo2 | PBE | optimized geometry

N(E_F)   4.3 states/eV/f.u.
E_tot   -6.267 eV per atom

abc: 7.916 7.916 6.234
angles: 50.58 50.58 90.00
Fractional coordinates of all 8 atoms:
1 Y 0.500 0.500 0.000
2 Y 0.250 0.750 0.500
3 Mo 0.652 0.125 0.250
4 Mo 0.098 0.625 0.250
5 Mo 0.375 0.348 0.750
6 Mo 0.875 0.902 0.750
7 Cd 0.000 0.000 0.000
8 Cd 0.750 0.250 0.500

---

[2]
Y2CdMo | PBE | optimized geometry

N(E_F)   5.4 states/eV/f.u.
E_tot   -5.729 eV per atom

abc: 10.465 10.465 10.465
angles: 18.40 18.40 18.40
Fractional coordinates of all 4 atoms:
1 Cd 0.491 0.491 0.491
2 Mo 0.752 0.752 0.752
3 Y 0.013 0.013 0.013
4 Y 0.244 0.244 0.244

---

[3]
Y2CdMo | PBE | optimized geometry

N(E_F)   4.5 states/eV/f.u.
E_tot   -5.800 eV per atom

abc: 5.061 5.061 5.061
angles: 60.00 60.00 60.00
Fractional coordinates of all 4 atoms:
1 Cd 0.500 0.500 0.500
2 Mo 0.250 0.250 0.250
3 Y 0.000 0.000 0.000
4 Y 0.750 0.750 0.750

---

[4]
YCdMo2 | PBE | optimized geometry

N(E_F)   3.2 states/eV/f.u.
E_tot   -6.973 eV per atom

abc: 5.567 5.567 5.567
angles: 142.91 126.64 66.76
Fractional coordinates of all 4 atoms:
1 Cd 0.238 0.738 0.500
2 Mo 0.964 0.964 0.000
3 Mo 0.778 0.278 0.500
4 Y 0.520 0.520 0.000

---

[5]
YCdMo | PBE | optimized geometry

N(E_F)   3.7 states/eV/f.u.
E_tot   -5.700 eV per atom

abc: 5.758 5.758 5.758
angles: 143.84 143.84 52.07
Fractional coordinates of all 3 atoms:
1 Cd 0.980 0.980 0.000
2 Mo 0.344 0.344 0.000
3 Y 0.675 0.675 0.000

---

[6]
YCdMo | PBE | optimized geometry

N(E_F)   1.1 states/eV/f.u.
E_tot   -4.920 eV per atom

abc: 4.886 4.886 4.886
angles: 60.00 60.00 60.00
Fractional coordinates of all 3 atoms:
1 Cd 0.000 0.000 0.000
2 Mo 0.500 0.500 0.500
3 Y 0.750 0.750 0.750

---

[7]
YCdMo2 | PBE | optimized geometry

N(E_F)   3.2 states/eV/f.u.
E_tot   -6.822 eV per atom

abc: 4.719 4.077 4.077
angles: 90.00 90.00 90.00
Fractional coordinates of all 4 atoms:
1 Cd 0.500 0.000 0.500
2 Mo 0.000 0.000 0.000
3 Mo 0.000 0.500 0.500
4 Y 0.500 0.500 0.000

---

[8]
Y2Cd2Mo | PBE | optimized geometry

N(E_F)   5.8 states/eV/f.u.
E_tot   -4.828 eV per atom

abc: 7.875 7.875 4.020
angles: 90.00 90.00 90.00
Fractional coordinates of all 10 atoms:
1 Y 0.176 0.676 0.500
2 Y 0.676 0.824 0.500
3 Y 0.824 0.324 0.500
4 Y 0.324 0.176 0.500
5 Mo 0.000 0.000 0.000
6 Mo 0.500 0.500 0.000
7 Cd 0.371 0.871 0.000
8 Cd 0.871 0.629 0.000
9 Cd 0.629 0.129 0.000
10 Cd 0.129 0.371 0.000

---

[9]
Y2CdMo | PBE | optimized geometry

N(E_F)   4.2 states/eV/f.u.
E_tot   -5.410 eV per atom

abc: 4.425 4.425 10.733
angles: 78.10 78.10 90.00
Fractional coordinates of all 8 atoms:
1 Y 0.611 0.125 0.250
2 Y 0.139 0.625 0.250
3 Y 0.375 0.389 0.750
4 Y 0.875 0.861 0.750
5 Mo 0.500 0.500 0.000
6 Mo 0.250 0.750 0.500
7 Cd 0.000 0.000 0.000
8 Cd 0.750 0.250 0.500

---

[10]
Y2CdMo | PBE | optimized geometry

N(E_F)   5.1 states/eV/f.u.
E_tot   -6.000 eV per atom

abc: 5.179 3.562 5.185
angles: 90.00 90.00 90.00
Fractional coordinates of all 4 atoms:
1 Cd 0.000 0.625 0.374
2 Mo 0.500 0.625 0.876
3 Y 0.000 0.125 0.875
4 Y 0.500 0.125 0.375

---

[11]
YCdMo2 | PBE | optimized geometry

N(E_F)   4.2 states/eV/f.u.
E_tot   -6.761 eV per atom

abc: 5.561 5.766 2.829
angles: 80.08 81.29 116.43
Fractional coordinates of all 4 atoms:
1 Cd 0.500 0.500 0.000
2 Mo 0.000 0.000 0.000
3 Mo 0.500 0.000 0.500
4 Y 0.000 0.500 0.500

---

[12]
Y2CdMo | PBE | optimized geometry

N(E_F)   5.0 states/eV/f.u.
E_tot   -6.101 eV per atom

abc: 3.565 3.565 7.600
angles: 90.00 90.00 90.00
Fractional coordinates of all 4 atoms:
1 Cd 0.500 0.500 0.250
2 Mo 0.500 0.500 0.750
3 Y 0.000 0.000 0.973
4 Y 0.000 0.000 0.527